The following is a PBE calculation of a relaxed structure of FeCu2HW, from Alexandria via LeMat-Bulk.

abc: 4.7705 4.7705 3.1992
angles: 90.00 90.00 90.00
Fractional coordinates of all 5 atoms:
Fe: 0.0000 0.0000 0.0000
Cu: 0.0000 0.5000 0.5000
Cu: 0.5000 0.0000 0.5000
H: 0.5000 0.5000 0.0000
W: 0.5000 0.5000 0.5000

SG = P4/mmm (123)
Calculated total energy = -5.33 eV per atom